## Nd2Be4Pt3Rh (PBE)

Data for a geometry-optimized Nd2Be4Pt3Rh structure.

Values from the calculation:
Its energy is -5.80 eV per atom. The energy of formation comes out at -0.8109 eV per atom. Its space group is No. 115.

CIF file:
```
data_Nd2Be4Pt3Rh
_cell_length_a 4.0874
_cell_length_b 4.0874
_cell_length_c 9.5307
_cell_angle_alpha 90.00
_cell_angle_beta 90.00
_cell_angle_gamma 90.00
_symmetry_space_group_name_H-M 'P 1'
_symmetry_Int_Tables_number 1
_symmetry_space_group_name_Hall 'P 1'
loop_
_atom_site_label
_atom_site_type_symbol
_atom_site_fract_x
_atom_site_fract_y
_atom_site_fract_z
Nd1 Nd 0.5000 0.0000 0.2530
Nd2 Nd 0.0000 0.5000 0.7470
Be1 Be 0.5000 0.5000 0.0000
Be2 Be 0.0000 0.0000 0.0000
Be3 Be 0.5000 0.0000 0.6189
Be4 Be 0.0000 0.5000 0.3811
Pt1 Pt 0.0000 0.0000 0.5000
Pt2 Pt 0.5000 0.0000 0.8775
Pt3 Pt 0.0000 0.5000 0.1225
Rh1 Rh 0.5000 0.5000 0.5000
```